Na2YMoF8 | Alexandria via LeMat-Bulk | PBE with a Hubbard U | relaxed; space group = P2/m (10); M_tot = 3.0 μB/f.u.; DFT total energy = -5.73 eV/atom
1.0
4.000 0.000 0.000
0.000 7.354 0.000
-0.275 0.000 5.533
Na Y Mo F
2 1 1 8
direct
0.000 0.241 0.000
0.000 0.759 0.000
0.500 0.500 0.500
0.500 0.000 0.500
0.021 0.500 0.269
0.072 0.000 0.267
0.448 0.240 0.724
0.448 0.760 0.724
0.552 0.240 0.276
0.552 0.760 0.276
0.928 0.000 0.733
0.979 0.500 0.731